The following is a DFT calculation (PBE) of a relaxed structure of ScCdSn2.

Geometry as CIF:
```
data_ScCdSn2
_chemical_formula_sum 'Sc1 Cd1 Sn2'
_symmetry_space_group_name_H-M 'P 4/m m m'
_symmetry_Int_Tables_number 123
_symmetry_space_group_name_Hall '-P 4 2'
_cell_length_a 3.8330
_cell_length_b 3.8330
_cell_length_c 6.5391
_cell_angle_alpha 90.00
_cell_angle_beta 90.00
_cell_angle_gamma 90.00
loop_
_atom_site_label
_atom_site_fract_x
_atom_site_fract_y
_atom_site_fract_z
Sc1 0.0000 0.0000 0.0000
Cd1 0.0000 0.0000 0.5000
Sn1 0.5000 0.5000 0.2491
```

formation enthalpy at 0 K = -0.219 eV/atom